1.
Computed, not measured: a relaxed structure of SrAlAgAu6 at the PBE-GGA level of DFT.

Properties
The magnetic moment is 0.00 μB per formula unit. Its space-group type is Imma (74). The calculation puts the formation energy at -156 kJ/mol of formula units.

Structure (POSCAR):
```
SrAlAgAu6
1.0
-2.7377 5.2534 7.3045
2.7377 -5.2534 7.3045
2.7377 5.2534 -7.3045
Sr Al Ag Au
2 2 2 12
direct
0.3724 0.1224 0.2500
0.6276 0.8776 0.7500
0.0000 0.5000 0.5000
0.5000 0.5000 0.0000
0.0000 0.0000 0.5000
0.0000 0.5000 0.0000
0.1346 0.3999 0.2356
0.1346 0.8990 0.7348
0.1665 0.9165 0.2500
0.2077 0.4577 0.7500
0.3357 0.1010 0.7356
0.3357 0.6001 0.2348
0.6643 0.3999 0.7652
0.6643 0.8990 0.2644
0.7923 0.5423 0.2500
0.8335 0.0835 0.7500
0.8654 0.1010 0.2652
0.8654 0.6001 0.7644
```

2.
Computed, not measured: a relaxed structure of NaHfB2 at the PBE-GGA level of DFT.

Properties
The magnetic moment is 0.00 μB per formula unit. Its space-group type is Fm-3m (225). The calculation puts the formation energy at 294 kJ/mol of formula units. For the distance to the lowest polymorph of the same formula, the calculation gives 0 meV per atom.

Structure (POSCAR):
```
NaHfB2
1.0
0.0000 2.9647 2.9647
2.9647 0.0000 2.9647
2.9647 2.9647 0.0000
Na Hf B
1 1 2
direct
0.0000 0.0000 0.0000
0.5000 0.5000 0.5000
0.2500 0.2500 0.2500
0.7500 0.7500 0.7500
```

3.
Computed, not measured: a relaxed structure of YZr2W at the PBE-GGA level of DFT.

Properties
The magnetic moment is 0.00 μB per formula unit. Its space-group type is Imm2 (44). The calculation puts the formation energy at 98 kJ/mol of formula units. For the distance to the lowest polymorph of the same formula, the calculation gives 87 meV per atom.

Structure (POSCAR):
```
YZr2W
1.0
-1.7824 2.4537 5.2044
1.7824 -2.4537 5.2044
1.7824 2.4537 -5.2044
Y Zr W
1 2 1
direct
0.0000 0.0000 0.0000
0.4343 0.4343 0.0000
0.7238 0.2238 0.5000
0.2384 0.7384 0.5000
```

4.
Computed, not measured: a relaxed structure of SrSi3Sb at the PBE-GGA level of DFT.

Properties
The magnetic moment is 0.00 μB per formula unit. Its space-group type is Pm-3m (221). For the distance to the lowest polymorph of the same formula, the calculation gives 0 meV per atom. As for the uncorrected formation energy: 0.7054 eV/atom.

Structure (POSCAR):
```
SrSi3Sb
1.0
5.2589 0.0000 0.0000
0.0000 5.2589 0.0000
0.0000 0.0000 5.2589
Sr Si Sb
1 3 1
direct
0.0000 0.0000 0.0000
0.0000 0.5000 0.5000
0.5000 0.0000 0.5000
0.5000 0.5000 0.0000
0.5000 0.5000 0.5000
```

5.
Computed, not measured: a relaxed structure of Rb2NaBi2 at the PBE-GGA level of DFT.

Properties
The magnetic moment is 0.00 μB per formula unit. Its space-group type is I4/mmm (139). The calculation puts the formation energy at -21 kJ/mol of formula units. For the distance to the lowest polymorph of the same formula, the calculation gives 248 meV per atom.

Structure (POSCAR):
```
Rb2NaBi2
1.0
-2.7378 2.7378 8.0046
2.7378 -2.7378 8.0046
2.7378 2.7378 -8.0046
Rb Na Bi
2 1 2
direct
0.2500 0.7500 0.5000
0.7500 0.2500 0.5000
0.0000 0.0000 0.0000
0.4091 0.4091 0.0000
0.5909 0.5909 0.0000
```

6.
Computed, not measured: a relaxed structure of Pr4CdHg3 at the PBE-GGA level of DFT.

Properties
The magnetic moment is 1.90 μB per formula unit. Its space-group type is Fmmm (69). The calculation puts the formation energy at -335 kJ/mol of formula units. For the distance to the lowest polymorph of the same formula, the calculation gives 0 meV per atom.

Structure (POSCAR):
```
Pr4CdHg3
1.0
0.0000 3.8645 7.7629
3.8597 0.0000 7.7629
3.8597 3.8645 0.0000
Pr Cd Hg
4 1 3
direct
0.1255 0.1255 0.3745
0.3745 0.3745 0.1255
0.6255 0.6255 0.8745
0.8745 0.8745 0.6255
0.0000 0.0000 0.0000
0.2495 0.2495 0.7505
0.5000 0.5000 0.5000
0.7505 0.7505 0.2495
```

7.
Computed, not measured: a relaxed structure of Pm3Sn2Rh4 at the PBE-GGA level of DFT.

Properties
The magnetic moment is 0.00 μB per formula unit. Its space-group type is C2/m (12). The calculation puts the formation energy at -647 kJ/mol of formula units.

Structure (POSCAR):
```
Pm3Sn2Rh4
1.0
5.0394 -2.2313 0.0000
5.0394 2.2313 0.0000
-0.8774 0.0000 8.8417
Pm Sn Rh
3 2 4
direct
0.0000 0.0000 0.0000
0.3740 0.3740 0.6141
0.6260 0.6260 0.3859
0.3206 0.3206 0.2177
0.6794 0.6794 0.7823
0.0850 0.0850 0.6304
0.2840 0.2840 0.9120
0.7160 0.7160 0.0880
0.9150 0.9150 0.3696
```

8.
Computed, not measured: a relaxed structure of HoInRu2 at the PBE-GGA level of DFT.

Properties
The magnetic moment is 0.00 μB per formula unit. Its space-group type is P4/mmm (123). The calculation puts the formation energy at -77 kJ/mol of formula units.

Structure (POSCAR):
```
HoInRu2
1.0
4.5961 0.0000 0.0000
0.0000 4.5961 0.0000
0.0000 0.0000 3.4083
Ho In Ru
1 1 2
direct
0.0000 0.0000 0.0000
0.5000 0.5000 0.0000
0.0000 0.5000 0.5000
0.5000 0.0000 0.5000
```

9.
Computed, not measured: a relaxed structure of MnCd3S at the PBE-GGA level of DFT.

Properties
The magnetic moment is 4.63 μB per formula unit. Its space-group type is Pm-3m (221). For the distance to the lowest polymorph of the same formula, the calculation gives 0 meV per atom. As for the uncorrected formation energy: 0.6708 eV/atom.

Structure (POSCAR):
```
MnCd3S
1.0
5.1496 0.0000 0.0000
0.0000 5.1496 0.0000
0.0000 0.0000 5.1496
Mn Cd S
1 3 1
direct
0.0000 0.0000 0.0000
0.0000 0.5000 0.5000
0.5000 0.0000 0.5000
0.5000 0.5000 0.0000
0.5000 0.5000 0.5000
```

10.
Computed, not measured: a relaxed structure of Cs2PdPtBr6 at the PBE-GGA level of DFT.

Properties
The magnetic moment is 0.40 μB per formula unit. Its space-group type is R-3m (166). As for the uncorrected formation energy: -0.8384 eV/atom.

Structure (POSCAR):
```
Cs2PdPtBr6
1.0
3.7965 2.1919 12.7255
-3.7965 2.1919 12.7255
0.0000 -4.3838 12.7255
Cs Pd Pt Br
4 2 2 12
direct
0.1212 0.1212 0.1212
0.2954 0.2954 0.2954
0.7046 0.7046 0.7046
0.8788 0.8788 0.8788
0.4128 0.4128 0.4128
0.5872 0.5872 0.5872
0.0000 0.0000 0.0000
0.5000 0.5000 0.5000
0.1415 0.6194 0.6194
0.2036 0.2036 0.7136
0.2036 0.7136 0.2036
0.2864 0.7964 0.7964
0.3806 0.3806 0.8585
0.3806 0.8585 0.3806
0.6194 0.1415 0.6194
0.6194 0.6194 0.1415
0.7136 0.2036 0.2036
0.7964 0.2864 0.7964
0.7964 0.7964 0.2864
0.8585 0.3806 0.3806
```